# Pr3CrB2N6 PBE-GGA optimized geometry
# formation energy (no corrections) = -0.9614 eV/atom
data_Pr3CrB2N6
_chemical_formula_sum 'Pr3 Cr1 B2 N6'
_symmetry_space_group_name_H-M 'P -3 m 1'
_symmetry_Int_Tables_number 164
_symmetry_space_group_name_Hall '-P 3 2"'
_cell_length_a 5.4031
_cell_length_b 5.4031
_cell_length_c 6.2622
_cell_angle_alpha 90.00
_cell_angle_beta 90.00
_cell_angle_gamma 120.00
loop_
_atom_site_label
_atom_site_type_symbol
_atom_site_fract_x
_atom_site_fract_y
_atom_site_fract_z
Pr1 Pr 0.0000 0.0000 0.0000
Pr2 Pr 0.3333 0.6667 0.6696
Cr1 Cr 0.0000 0.0000 0.5000
B1 B 0.3333 0.6667 0.2700
N1 N 0.1776 0.3552 0.2927